# 1
DFT (PBE-GGA) results for a relaxed FePtC2 crystal.

## Properties
**Energy of formation from the pure elements**: 6.3 eV per formula unit
**E_tot**: -26.680 eV for the cell shown
**Total moment**: 1.9 μB/f.u.

Lattice parameters (Å, degrees): 3.7754 3.7754 3.7754 60.00 60.00 60.00
Sites, in units of the cell vectors:
Fe 0.0000 0.0000 0.0000
Pt 0.5000 0.5000 0.5000
C 0.2500 0.2500 0.2500
C 0.7500 0.7500 0.7500

# 2
DFT (PBE-GGA) results for a relaxed FePt3C crystal.

## Properties
**Energy of formation from the pure elements**: 2.4 eV per formula unit
**E_tot**: -33.362 eV for the cell shown
**Total moment**: 3.8 μB/f.u.

Lattice parameters (Å, degrees): 4.1632 4.1632 4.1632 90.00 90.00 90.00
Sites, in units of the cell vectors:
Fe 0.0000 0.0000 0.0000
Pt 0.0000 0.5000 0.5000
Pt 0.5000 0.0000 0.5000
Pt 0.5000 0.5000 0.0000
C 0.5000 0.5000 0.5000

- The highest E_tot belongs to which entry?
  FePtC2